# Dy4Sc3Co2 | Alexandria | GGA-PBE | relaxed
# E_form (eV per atom): -0.13
# DOS at the Fermi energy (states/eV per atom): 1.003
# V (Å³ per cell): 216.8
# Energy (Ha/atom): -0.2156
# Space-group type: C2/m
# Calculated density (g/cm3): 6.91
data_Dy4Sc3Co2
_cell_length_a 3.4982
_cell_length_b 8.4768
_cell_length_c 8.1420
_cell_angle_alpha 112.56
_cell_angle_beta 102.41
_cell_angle_gamma 90.00
_symmetry_space_group_name_H-M 'P 1'
_symmetry_Int_Tables_number 1
loop_
_symmetry_equiv_pos_as_xyz
'x,y,z'
loop_
_atom_site_label
_atom_site_fract_x
_atom_site_fract_y
_atom_site_fract_z
_atom_site_occupancy
Dy1 0.7707 0.3451 0.5414 1
Co1 0.6127 0.4323 0.2255 1
Dy2 0.3763 0.1128 0.7526 1
Dy3 0.6237 0.8872 0.2474 1
Sc1 0.0000 0.5000 0.0000 1
Sc2 0.9294 0.8063 0.8588 1
Co2 0.3873 0.5677 0.7745 1
Dy4 0.2293 0.6549 0.4586 1
Sc3 0.0706 0.1937 0.1412 1